Computed, not measured: a relaxed structure of TbPrNi4 at the PBE level of DFT.

Cell: 5.1404 5.1404 5.1404 Å, 60.00 60.00 60.00°
Sites, in units of the cell vectors:
Ni  0.6242  0.6242  0.1274
Ni  0.6242  0.1274  0.6242
Tb  0.2500  0.2500  0.2500
Ni  0.1274  0.6242  0.6242
Pr  0.0000  0.0000  0.0000
Ni  0.6242  0.6242  0.6242

Computed properties:
Space group: F-43m
Total moment: 0.00 μB per formula unit
Energy relative to the elements: -353 meV/atom